# YTaTlCu (PBE, optimized geometry)
data_YTaTlCu
_symmetry_space_group_name_H-M 'F -4 3 m'
_symmetry_Int_Tables_number 216
_symmetry_space_group_name_Hall 'F -4 2 3'
_cell_length_a 6.996
_cell_length_b 6.996
_cell_length_c 6.996
_cell_angle_alpha 90.00
_cell_angle_beta 90.00
_cell_angle_gamma 90.00
loop_
_atom_site_label
_atom_site_type_symbol
_atom_site_fract_x
_atom_site_fract_y
_atom_site_fract_z
Y1 Y 0.000 0.000 0.000
Ta1 Ta 0.250 0.250 0.250
Tl1 Tl 0.000 0.000 0.500
Cu1 Cu 0.250 0.250 0.750
# energy above the most stable polymorph in this dataset = 0 meV/atom
# total energy = -5.49 eV/atom
# size of the total moment = 11.05 μB per cell
# mass density = 10.432 g cm⁻³
# calculated volume = 342 Å³/cell